A plane-wave DFT calculation with meta-GGA SCAN was carried out for ZnAgBr2 at its PBEsol-relaxed geometry.

The structure in CIF format:
```
data_ZnAgBr2
_cell_length_a 3.745
_cell_length_b 6.327
_cell_length_c 8.374
_cell_angle_alpha 90.00
_cell_angle_beta 90.00
_cell_angle_gamma 90.00
_space_group_name_H-M_alt 'C m m 2'
_space_group_IT_number 35
loop_
_space_group_symop_operation_xyz
'x,y,z'
'-x,-y,z'
'-x,y,z'
'x,-y,z'
'x+1/2,y+1/2,z'
'-x+1/2,-y+1/2,z'
'-x+1/2,y+1/2,z'
'x+1/2,-y+1/2,z'
loop_
_atom_site_label
_atom_site_type_symbol
_atom_site_fract_x
_atom_site_fract_y
_atom_site_fract_z
Zn1 Zn 0.000 0.000 0.000
Ag1 Ag 0.000 0.500 0.786
Br1 Br 0.000 0.000 0.576
Br2 Br 0.000 0.500 0.193
```

Values from the calculation:
uncorrected formation energy = -0.203 eV per atom
E above lowest polymorph = 65 meV per atom
volume = 24.8 Å³ per atom

=====

A plane-wave DFT calculation with meta-GGA SCAN was carried out for ZrBe2Pt at its PBEsol-relaxed geometry.

The structure in CIF format:
```
data_ZrBe2Pt
_cell_length_a 2.8871
_cell_length_b 2.8871
_cell_length_c 23.5790
_cell_angle_alpha 90.00
_cell_angle_beta 90.00
_cell_angle_gamma 120.00
_space_group_name_H-M_alt 'R -3 m'
_space_group_IT_number 166
_space_group_name_Hall '-R 3 2"'
loop_
_atom_site_label
_atom_site_type_symbol
_atom_site_fract_x
_atom_site_fract_y
_atom_site_fract_z
Zr1 Zr 0.0000 0.0000 0.0000
Be1 Be 0.0000 0.0000 0.2372
Pt1 Pt 0.0000 0.0000 0.5000
```

Values from the calculation:
energy of formation from the pure elements = -0.1062 eV/atom
E above lowest polymorph = 695 meV per atom
volume = 14.2 Å³ per atom

=====

A plane-wave DFT calculation with meta-GGA SCAN was carried out for BaAu3N at its PBEsol-relaxed geometry.

The structure in CIF format:
```
data_BaAu3N
_cell_length_a 4.654
_cell_length_b 4.654
_cell_length_c 4.654
_cell_angle_alpha 90.00
_cell_angle_beta 90.00
_cell_angle_gamma 90.00
_space_group_name_H-M_alt 'P m -3 m'
_space_group_IT_number 221
_space_group_name_Hall '-P 4 2 3'
loop_
_atom_site_label
_atom_site_type_symbol
_atom_site_fract_x
_atom_site_fract_y
_atom_site_fract_z
Ba1 Ba 0.000 0.000 0.000
Au1 Au 0.000 0.500 0.500
N1 N 0.500 0.500 0.500
```

Values from the calculation:
uncorrected formation energy = 0.221 eV per atom
volume = 20.2 Å³ per atom

=====

Per-record final energy, eV/cell: -169.23 -330.07 -255.21